# 1
## Pm8In2Au (PBE)

Data for a relaxed Pm8In2Au crystal.

Computed properties:
The value obtained for the total energy is -4.549 eV/atom. The calculated density comes out at 7.71 g/cm3. As for the space group: C2/m (12).

Structure (CIF):
```
data_Pm8In2Au
_cell_length_a 5.250
_cell_length_b 6.917
_cell_length_c 10.059
_cell_angle_alpha 103.73
_cell_angle_beta 105.13
_cell_angle_gamma 90.00
_space_group_name_H-M_alt 'P 1'
_space_group_IT_number 1
loop_
_space_group_symop_operation_xyz
'x,y,z'
loop_
_atom_site_label
_atom_site_type_symbol
_atom_site_fract_x
_atom_site_fract_y
_atom_site_fract_z
Pm1 Pm 0.407 0.535 0.815
Pm2 Pm 0.984 0.227 0.968
Pm3 Pm 0.210 0.306 0.419
Pm4 Pm 0.016 0.773 0.032
Pm5 Pm 0.593 0.465 0.185
Pm6 Pm 0.347 0.018 0.694
Pm7 Pm 0.790 0.694 0.581
Pm8 Pm 0.653 0.982 0.306
Au1 Au 0.500 0.000 0.000
In1 In 0.183 0.748 0.365
In2 In 0.817 0.252 0.635
```

# 2
## PmIn2Au6 (PBE)

Data for a relaxed PmIn2Au6 crystal.

Computed properties:
The value obtained for the total energy is -3.658 eV/atom. The calculated density comes out at 13.14 g/cm3. As for the space group: Immm (71).

Structure (CIF):
```
data_PmIn2Au6
_cell_length_a 3.525
_cell_length_b 8.153
_cell_length_c 8.153
_cell_angle_alpha 60.14
_cell_angle_beta 77.51
_cell_angle_gamma 77.51
_space_group_name_H-M_alt 'P 1'
_space_group_IT_number 1
loop_
_space_group_symop_operation_xyz
'x,y,z'
loop_
_atom_site_label
_atom_site_type_symbol
_atom_site_fract_x
_atom_site_fract_y
_atom_site_fract_z
In1 In 0.644 0.856 0.856
In2 In 0.356 0.144 0.144
Au1 Au 0.177 0.152 0.495
Au2 Au 0.177 0.495 0.152
Au3 Au 0.823 0.505 0.848
Au4 Au 0.000 0.173 0.827
Au5 Au 0.823 0.848 0.505
Au6 Au 0.000 0.827 0.173
Pm1 Pm 0.500 0.500 0.500
```

# 3
## Pm2In5Au (PBE)

Data for a relaxed Pm2In5Au crystal.

Computed properties:
The value obtained for the total energy is -3.799 eV/atom. The calculated density comes out at 8.85 g/cm3. As for the space group: Pbam (55).

Structure (CIF):
```
data_Pm2In5Au
_cell_length_a 4.654
_cell_length_b 6.547
_cell_length_c 13.064
_cell_angle_alpha 90.00
_cell_angle_beta 90.00
_cell_angle_gamma 90.00
_space_group_name_H-M_alt 'P 1'
_space_group_IT_number 1
loop_
_space_group_symop_operation_xyz
'x,y,z'
loop_
_atom_site_label
_atom_site_type_symbol
_atom_site_fract_x
_atom_site_fract_y
_atom_site_fract_z
Pm1 Pm 0.500 0.258 0.627
Pm2 Pm 0.500 0.742 0.373
Pm3 Pm 0.500 0.242 0.127
Pm4 Pm 0.500 0.758 0.873
In1 In 0.500 0.237 0.380
In2 In 0.000 0.000 0.000
In3 In 0.000 0.999 0.258
In4 In 0.000 0.501 0.758
In5 In 0.000 0.500 0.500
In6 In 0.500 0.763 0.620
In7 In 0.500 0.263 0.880
In8 In 0.000 0.001 0.742
In9 In 0.000 0.499 0.242
In10 In 0.500 0.737 0.120
Au1 Au 0.000 0.500 0.000
Au2 Au 0.000 0.000 0.500
```

# 4
## Pm2InAu16 (PBE)

Data for a relaxed Pm2InAu16 crystal.

Computed properties:
The value obtained for the total energy is -3.685 eV/atom. The calculated density comes out at 15.26 g/cm3. As for the space group: R3m (160).

Structure (CIF):
```
data_Pm2InAu16
_cell_length_a 7.357
_cell_length_b 7.357
_cell_length_c 7.357
_cell_angle_alpha 81.84
_cell_angle_beta 81.84
_cell_angle_gamma 81.84
_space_group_name_H-M_alt 'P 1'
_space_group_IT_number 1
loop_
_space_group_symop_operation_xyz
'x,y,z'
loop_
_atom_site_label
_atom_site_type_symbol
_atom_site_fract_x
_atom_site_fract_y
_atom_site_fract_z
In1 In 0.908 0.908 0.908
Au1 Au 0.001 0.695 0.310
Au2 Au 0.989 0.989 0.520
Au3 Au 0.631 0.187 0.631
Au4 Au 0.865 0.349 0.349
Au5 Au 0.631 0.631 0.187
Au6 Au 0.695 0.310 0.001
Au7 Au 0.001 0.310 0.695
Au8 Au 0.105 0.105 0.105
Au9 Au 0.349 0.349 0.865
Au10 Au 0.989 0.520 0.989
Au11 Au 0.187 0.631 0.631
Au12 Au 0.520 0.989 0.989
Au13 Au 0.310 0.001 0.695
Au14 Au 0.310 0.695 0.001
Au15 Au 0.695 0.001 0.310
Au16 Au 0.349 0.865 0.349
Pm1 Pm 0.634 0.634 0.634
Pm2 Pm 0.331 0.331 0.331
```

# 5
## Pm3In4Au4 (PBE)

Data for a relaxed Pm3In4Au4 crystal.

Computed properties:
The value obtained for the total energy is -4.091 eV/atom. The calculated density comes out at 10.48 g/cm3. As for the space group: Immm (71).

Structure (CIF):
```
data_Pm3In4Au4
_cell_length_a 4.399
_cell_length_b 7.778
_cell_length_c 8.978
_cell_angle_alpha 115.67
_cell_angle_beta 104.18
_cell_angle_gamma 90.00
_space_group_name_H-M_alt 'P 1'
_space_group_IT_number 1
loop_
_space_group_symop_operation_xyz
'x,y,z'
loop_
_atom_site_label
_atom_site_type_symbol
_atom_site_fract_x
_atom_site_fract_y
_atom_site_fract_z
In1 In 0.669 0.473 0.338
In2 In 0.331 0.135 0.662
In3 In 0.669 0.865 0.338
In4 In 0.331 0.527 0.662
Au1 Au 0.500 0.810 0.000
Au2 Au 0.776 0.276 0.552
Au3 Au 0.500 0.190 0.000
Au4 Au 0.224 0.724 0.448
Pm1 Pm 0.119 0.119 0.238
Pm2 Pm 0.000 0.500 0.000
Pm3 Pm 0.881 0.881 0.762
```

# 6
## Pm11In9Au4 (PBE)

Data for a relaxed Pm11In9Au4 crystal.

Computed properties:
The value obtained for the total energy is -4.371 eV/atom. The calculated density comes out at 8.71 g/cm3. As for the space group: Cmmm (65).

Structure (CIF):
```
data_Pm11In9Au4
_cell_length_a 3.835
_cell_length_b 13.584
_cell_length_c 13.584
_cell_angle_alpha 112.97
_cell_angle_beta 90.00
_cell_angle_gamma 90.00
_space_group_name_H-M_alt 'P 1'
_space_group_IT_number 1
loop_
_space_group_symop_operation_xyz
'x,y,z'
loop_
_atom_site_label
_atom_site_type_symbol
_atom_site_fract_x
_atom_site_fract_y
_atom_site_fract_z
In1 In 0.500 0.069 0.214
In2 In 0.500 0.367 0.842
In3 In 0.500 0.214 0.069
In4 In 0.500 0.158 0.633
In5 In 0.500 0.633 0.158
In6 In 0.500 0.842 0.367
In7 In 0.500 0.500 0.500
In8 In 0.500 0.786 0.931
In9 In 0.500 0.931 0.786
Au1 Au 0.500 0.752 0.552
Au2 Au 0.500 0.248 0.448
Au3 Au 0.500 0.552 0.752
Au4 Au 0.500 0.448 0.248
Pm1 Pm 0.000 0.588 0.935
Pm2 Pm 0.000 0.838 0.162
Pm3 Pm 0.000 0.412 0.065
Pm4 Pm 0.000 0.162 0.838
Pm5 Pm 0.000 0.303 0.303
Pm6 Pm 0.000 0.065 0.412
Pm7 Pm 0.000 0.000 0.000
Pm8 Pm 0.000 0.630 0.370
Pm9 Pm 0.000 0.935 0.588
Pm10 Pm 0.000 0.370 0.630
Pm11 Pm 0.000 0.697 0.697
```

# 7
## PmInAu3 (PBE)

Data for a relaxed PmInAu3 crystal.

Computed properties:
The value obtained for the total energy is -4.042 eV/atom. The calculated density comes out at 13.10 g/cm3. As for the space group: P2_1/m (11).

Structure (CIF):
```
data_PmInAu3
_cell_length_a 5.111
_cell_length_b 5.146
_cell_length_c 8.582
_cell_angle_alpha 90.00
_cell_angle_beta 107.18
_cell_angle_gamma 90.00
_space_group_name_H-M_alt 'P 1'
_space_group_IT_number 1
loop_
_space_group_symop_operation_xyz
'x,y,z'
loop_
_atom_site_label
_atom_site_type_symbol
_atom_site_fract_x
_atom_site_fract_y
_atom_site_fract_z
Au1 Au 0.003 0.634 0.517
Au2 Au 0.096 0.134 0.701
Au3 Au 0.302 0.134 0.105
Au4 Au 0.592 0.634 0.694
Au5 Au 0.508 0.134 0.524
Au6 Au 0.797 0.634 0.113
In1 In 0.407 0.634 0.325
In2 In 0.693 0.134 0.893
Pm1 Pm 0.905 0.134 0.316
Pm2 Pm 0.195 0.634 0.902
```

# 8
## Pm4InAu5 (PBE)

Data for a relaxed Pm4InAu5 crystal.

Computed properties:
The value obtained for the total energy is -4.509 eV/atom. The calculated density comes out at 11.40 g/cm3. As for the space group: P4/mmm (123).

Structure (CIF):
```
data_Pm4InAu5
_cell_length_a 3.695
_cell_length_b 3.695
_cell_length_c 17.920
_cell_angle_alpha 90.00
_cell_angle_beta 90.00
_cell_angle_gamma 90.00
_space_group_name_H-M_alt 'P 1'
_space_group_IT_number 1
loop_
_space_group_symop_operation_xyz
'x,y,z'
loop_
_atom_site_label
_atom_site_type_symbol
_atom_site_fract_x
_atom_site_fract_y
_atom_site_fract_z
Au1 Au 0.500 0.500 0.295
Au2 Au 0.500 0.500 0.097
Au3 Au 0.500 0.500 0.903
Au4 Au 0.500 0.500 0.705
Au5 Au 0.500 0.500 0.500
Pm1 Pm 0.000 0.000 0.189
Pm2 Pm 0.000 0.000 0.811
Pm3 Pm 0.000 0.000 0.396
Pm4 Pm 0.000 0.000 0.604
In1 In 0.000 0.000 0.000
```

# 9
## Pm3InAu5 (PBE)

Data for a relaxed Pm3InAu5 crystal.

Computed properties:
The value obtained for the total energy is -4.445 eV/atom. The calculated density comes out at 12.02 g/cm3. As for the space group: P6_3/mcm (193).

Structure (CIF):
```
data_Pm3InAu5
_cell_length_a 6.243
_cell_length_b 8.856
_cell_length_c 8.857
_cell_angle_alpha 120.00
_cell_angle_beta 90.00
_cell_angle_gamma 90.00
_space_group_name_H-M_alt 'P 1'
_space_group_IT_number 1
loop_
_space_group_symop_operation_xyz
'x,y,z'
loop_
_atom_site_label
_atom_site_type_symbol
_atom_site_fract_x
_atom_site_fract_y
_atom_site_fract_z
Au1 Au 0.000 0.333 0.667
Au2 Au 0.250 0.000 0.691
Au3 Au 0.500 0.667 0.333
Au4 Au 0.000 0.667 0.333
Au5 Au 0.250 0.691 0.000
Au6 Au 0.750 0.691 0.691
Au7 Au 0.750 0.309 0.000
Au8 Au 0.750 0.000 0.309
Au9 Au 0.500 0.333 0.667
Au10 Au 0.250 0.309 0.309
In1 In 0.000 0.000 0.000
In2 In 0.500 0.000 0.000
Pm1 Pm 0.750 0.356 0.356
Pm2 Pm 0.750 0.000 0.644
Pm3 Pm 0.250 0.000 0.356
Pm4 Pm 0.250 0.644 0.644
Pm5 Pm 0.250 0.356 0.000
Pm6 Pm 0.750 0.644 0.000
```

# 10
## PmIn3Au2 (PBE)

Data for a relaxed PmIn3Au2 crystal.

Computed properties:
The value obtained for the total energy is -3.720 eV/atom. The calculated density comes out at 10.18 g/cm3. As for the space group: C2/m (12).

Structure (CIF):
```
data_PmIn3Au2
_cell_length_a 4.485
_cell_length_b 8.851
_cell_length_c 8.742
_cell_angle_alpha 119.75
_cell_angle_beta 90.00
_cell_angle_gamma 104.68
_space_group_name_H-M_alt 'P 1'
_space_group_IT_number 1
loop_
_space_group_symop_operation_xyz
'x,y,z'
loop_
_atom_site_label
_atom_site_type_symbol
_atom_site_fract_x
_atom_site_fract_y
_atom_site_fract_z
Au1 Au 0.215 0.430 0.715
Au2 Au 0.500 0.000 0.843
Au3 Au 0.785 0.570 0.285
Au4 Au 0.500 0.000 0.157
In1 In 0.995 0.991 0.652
In2 In 0.005 0.009 0.348
In3 In 0.328 0.656 0.528
In4 In 0.670 0.340 0.867
In5 In 0.330 0.660 0.133
In6 In 0.672 0.344 0.472
Pm1 Pm 0.873 0.747 0.876
Pm2 Pm 0.127 0.253 0.124
```

# 11
## Pm4InAu7 (PBE)

Data for a relaxed Pm4InAu7 crystal.

Computed properties:
The value obtained for the total energy is -4.359 eV/atom. The calculated density comes out at 11.60 g/cm3. As for the space group: C2/m (12).

Structure (CIF):
```
data_Pm4InAu7
_cell_length_a 5.179
_cell_length_b 8.548
_cell_length_c 7.810
_cell_angle_alpha 68.49
_cell_angle_beta 70.64
_cell_angle_gamma 72.37
_space_group_name_H-M_alt 'P 1'
_space_group_IT_number 1
loop_
_space_group_symop_operation_xyz
'x,y,z'
loop_
_atom_site_label
_atom_site_type_symbol
_atom_site_fract_x
_atom_site_fract_y
_atom_site_fract_z
Au1 Au 0.804 0.998 0.394
Au2 Au 0.086 0.635 0.193
Au3 Au 0.322 0.553 0.804
Au4 Au 0.678 0.447 0.196
Au5 Au 0.196 0.002 0.606
Au6 Au 0.914 0.365 0.807
Au7 Au 0.500 0.000 0.000
Pm1 Pm 0.440 0.742 0.378
Pm2 Pm 0.267 0.255 0.212
Pm3 Pm 0.733 0.745 0.788
Pm4 Pm 0.560 0.258 0.622
In1 In 0.000 0.000 0.000
```

# 12
## Pm3In4Au2 (PBE)

Data for a relaxed Pm3In4Au2 crystal.

Computed properties:
The value obtained for the total energy is -4.132 eV/atom. The calculated density comes out at 9.30 g/cm3. As for the space group: P-62m (189).

Structure (CIF):
```
data_Pm3In4Au2
_cell_length_a 4.188
_cell_length_b 7.964
_cell_length_c 7.964
_cell_angle_alpha 120.00
_cell_angle_beta 90.00
_cell_angle_gamma 90.00
_space_group_name_H-M_alt 'P 1'
_space_group_IT_number 1
loop_
_space_group_symop_operation_xyz
'x,y,z'
loop_
_atom_site_label
_atom_site_type_symbol
_atom_site_fract_x
_atom_site_fract_y
_atom_site_fract_z
Au1 Au 0.000 0.333 0.667
Au2 Au 0.000 0.667 0.333
Pm1 Pm 0.500 0.403 0.000
Pm2 Pm 0.500 0.000 0.403
Pm3 Pm 0.500 0.597 0.597
In1 In 0.000 0.000 0.731
In2 In 0.000 0.731 0.000
In3 In 0.500 0.000 0.000
In4 In 0.000 0.269 0.269
```

Question: Which value of calculated density does entry 3 give?
Answer: 8.85 g/cm3

Please write out number 1 again, unchanged.
## Pm8In2Au (PBE)

Data for a relaxed Pm8In2Au crystal.

Computed properties:
The value obtained for the total energy is -4.549 eV/atom. The calculated density comes out at 7.71 g/cm3. As for the space group: C2/m (12).

Structure (CIF):
```
data_Pm8In2Au
_cell_length_a 5.250
_cell_length_b 6.917
_cell_length_c 10.059
_cell_angle_alpha 103.73
_cell_angle_beta 105.13
_cell_angle_gamma 90.00
_space_group_name_H-M_alt 'P 1'
_space_group_IT_number 1
loop_
_space_group_symop_operation_xyz
'x,y,z'
loop_
_atom_site_label
_atom_site_type_symbol
_atom_site_fract_x
_atom_site_fract_y
_atom_site_fract_z
Pm1 Pm 0.407 0.535 0.815
Pm2 Pm 0.984 0.227 0.968
Pm3 Pm 0.210 0.306 0.419
Pm4 Pm 0.016 0.773 0.032
Pm5 Pm 0.593 0.465 0.185
Pm6 Pm 0.347 0.018 0.694
Pm7 Pm 0.790 0.694 0.581
Pm8 Pm 0.653 0.982 0.306
Au1 Au 0.500 0.000 0.000
In1 In 0.183 0.748 0.365
In2 In 0.817 0.252 0.635
```

Question: Which value of calculated density does entry 2 give?
Answer: 13.14 g/cm3

Question: Look up the calculated density of the first one.
Answer: 7.71 g/cm3